# 1
The following is a GGA-PBE calculation of KSrSc2 after structural relaxation, from Alexandria.

CIF file:
```
data_KSrSc2
_cell_length_a 3.5152
_cell_length_b 3.5152
_cell_length_c 12.1283
_cell_angle_alpha 90.00
_cell_angle_beta 90.00
_cell_angle_gamma 90.00
_symmetry_space_group_name_H-M 'P 1'
_symmetry_Int_Tables_number 1
_symmetry_space_group_name_Hall 'P 1'
loop_
_atom_site_label
_atom_site_type_symbol
_atom_site_fract_x
_atom_site_fract_y
_atom_site_fract_z
K1 K 0.0000 0.0000 0.0000
Sr1 Sr 0.0000 0.0000 0.5000
Sc1 Sc 0.5000 0.5000 0.2706
Sc2 Sc 0.5000 0.5000 0.7294
```

Output
The calculation puts the calculated total energy at -13.113 eV for the cell shown. The calculation puts the energy above the most stable polymorph in this dataset at 106 kJ/mol of formula units. For the volume, the calculation gives 149.9 Å³/cell. The value obtained for the formation enthalpy at 0 K is 0.582 eV per atom.



# 2
The following is a GGA-PBE calculation of KSrSc2 after structural relaxation, from Alexandria.

CIF file:
```
data_KSrSc2
_cell_length_a 7.2251
_cell_length_b 7.2251
_cell_length_c 7.2251
_cell_angle_alpha 149.76
_cell_angle_beta 131.42
_cell_angle_gamma 58.30
_symmetry_space_group_name_H-M 'P 1'
_symmetry_Int_Tables_number 1
_symmetry_space_group_name_Hall 'P 1'
loop_
_atom_site_label
_atom_site_type_symbol
_atom_site_fract_x
_atom_site_fract_y
_atom_site_fract_z
K1 K 0.0000 0.0000 0.0000
Sr1 Sr 0.5000 0.5000 0.0000
Sc1 Sc 0.2516 0.7516 0.5000
Sc2 Sc 0.7484 0.2484 0.5000
```

Output
The calculation puts the calculated total energy at -13.041 eV for the cell shown. The calculation puts the energy above the most stable polymorph in this dataset at 113 kJ/mol of formula units. For the volume, the calculation gives 141.4 Å³/cell. The value obtained for the formation enthalpy at 0 K is 0.600 eV per atom.



# 3
The following is a GGA-PBE calculation of KSr2Sc after structural relaxation, from Alexandria.

CIF file:
```
data_KSr2Sc
_cell_length_a 6.5672
_cell_length_b 6.5672
_cell_length_c 4.1921
_cell_angle_alpha 90.00
_cell_angle_beta 90.00
_cell_angle_gamma 90.99
_symmetry_space_group_name_H-M 'P 1'
_symmetry_Int_Tables_number 1
_symmetry_space_group_name_Hall 'P 1'
loop_
_atom_site_label
_atom_site_type_symbol
_atom_site_fract_x
_atom_site_fract_y
_atom_site_fract_z
K1 K 0.0000 0.0000 0.0000
Sr1 Sr 0.0000 0.5000 0.5000
Sr2 Sr 0.5000 0.0000 0.5000
Sc1 Sc 0.5000 0.5000 0.0000
```

Output
The calculation puts the calculated total energy at -9.190 eV for the cell shown. The calculation puts the energy above the most stable polymorph in this dataset at 56 kJ/mol of formula units. For the volume, the calculation gives 180.8 Å³/cell. The value obtained for the formation enthalpy at 0 K is 0.401 eV per atom.



# 4
The following is a GGA-PBE calculation of KSrSc2 after structural relaxation, from Alexandria.

CIF file:
```
data_KSrSc2
_cell_length_a 7.4102
_cell_length_b 7.4102
_cell_length_c 7.4102
_cell_angle_alpha 101.40
_cell_angle_beta 101.40
_cell_angle_gamma 127.19
_symmetry_space_group_name_H-M 'P 1'
_symmetry_Int_Tables_number 1
_symmetry_space_group_name_Hall 'P 1'
loop_
_atom_site_label
_atom_site_type_symbol
_atom_site_fract_x
_atom_site_fract_y
_atom_site_fract_z
K1 K 0.0000 0.0000 0.0000
K2 K 0.7500 0.2500 0.5000
Sr1 Sr 0.2500 0.7500 0.5000
Sr2 Sr 0.5000 0.5000 0.0000
Sc1 Sc 0.1150 0.6250 0.9900
Sc2 Sc 0.3750 0.3650 0.4900
Sc3 Sc 0.6350 0.1250 0.0100
Sc4 Sc 0.8750 0.8850 0.5100
```

Output
The calculation puts the calculated total energy at -24.022 eV for the cell shown. The calculation puts the energy above the most stable polymorph in this dataset at 212 kJ/mol of formula units. For the volume, the calculation gives 290.3 Å³/cell. The value obtained for the formation enthalpy at 0 K is 0.858 eV per atom.



- The highest energy above the most stable polymorph in this dataset belongs to which entry?
  number 4



- formation enthalpy at 0 K of number 1 (KSrSc2)?
  0.582 eV per atom



Copy entry 4 word for word.
The following is a GGA-PBE calculation of KSrSc2 after structural relaxation, from Alexandria.

CIF file:
```
data_KSrSc2
_cell_length_a 7.4102
_cell_length_b 7.4102
_cell_length_c 7.4102
_cell_angle_alpha 101.40
_cell_angle_beta 101.40
_cell_angle_gamma 127.19
_symmetry_space_group_name_H-M 'P 1'
_symmetry_Int_Tables_number 1
_symmetry_space_group_name_Hall 'P 1'
loop_
_atom_site_label
_atom_site_type_symbol
_atom_site_fract_x
_atom_site_fract_y
_atom_site_fract_z
K1 K 0.0000 0.0000 0.0000
K2 K 0.7500 0.2500 0.5000
Sr1 Sr 0.2500 0.7500 0.5000
Sr2 Sr 0.5000 0.5000 0.0000
Sc1 Sc 0.1150 0.6250 0.9900
Sc2 Sc 0.3750 0.3650 0.4900
Sc3 Sc 0.6350 0.1250 0.0100
Sc4 Sc 0.8750 0.8850 0.5100
```

Output
The calculation puts the calculated total energy at -24.022 eV for the cell shown. The calculation puts the energy above the most stable polymorph in this dataset at 212 kJ/mol of formula units. For the volume, the calculation gives 290.3 Å³/cell. The value obtained for the formation enthalpy at 0 K is 0.858 eV per atom.